1.
Tm2BiTeO8: relaxed, PBE-GGA.

## Properties
The raw formation energy is -2.12 eV per atom.

Cell lengths 4.9752, 4.9752, 6.8476 Å; angles 90.00, 90.00, 91.94 degrees
Fractional positions:
Tm 0.0000 0.0000 0.2413
Tm 0.0000 0.0000 0.7587
Bi 0.5000 0.5000 0.5000
Te 0.5000 0.5000 0.0000
O 0.1861 0.1861 0.5000
O 0.2185 0.2185 0.0000
O 0.3151 0.6849 0.2149
O 0.3151 0.6849 0.7851
O 0.6849 0.3151 0.2149
O 0.6849 0.3151 0.7851
O 0.7815 0.7815 0.0000
O 0.8139 0.8139 0.5000

2.
TmBiTeO6: relaxed, PBE-GGA.

## Properties
The raw formation energy is -1.82 eV per atom.

Cell lengths 5.5778, 5.5778, 9.6929 Å; angles 90.00, 90.00, 120.00 degrees
Fractional positions:
Tm 0.3333 0.6667 0.2500
Tm 0.6667 0.3333 0.7500
Bi 0.0000 0.0000 0.0000
Bi 0.0000 0.0000 0.5000
Te 0.3333 0.6667 0.7500
Te 0.6667 0.3333 0.2500
O 0.0366 0.3788 0.6374
O 0.0366 0.6577 0.8626
O 0.3423 0.3788 0.8626
O 0.3423 0.9634 0.6374
O 0.3788 0.0366 0.1374
O 0.3788 0.3423 0.3626
O 0.6212 0.6577 0.6374
O 0.6212 0.9634 0.8626
O 0.6577 0.0366 0.3626
O 0.6577 0.6212 0.1374
O 0.9634 0.3423 0.1374
O 0.9634 0.6212 0.3626

3.
TmBi2TeO4: relaxed, PBE-GGA.

## Properties
The raw formation energy is -1.80 eV per atom.

Cell lengths 3.8585, 3.8585, 10.1378 Å; angles 90.00, 90.00, 90.00 degrees
Fractional positions:
Tm 0.0000 0.0000 0.0000
Bi 0.5000 0.5000 0.2469
Bi 0.5000 0.5000 0.7531
Te 0.0000 0.0000 0.5000
O 0.0000 0.5000 0.1337
O 0.0000 0.5000 0.8663
O 0.5000 0.0000 0.1337
O 0.5000 0.0000 0.8663

Question: Look up the raw formation energy of the first one.
Answer: -2.12 eV per atom